No. 1
VASP calculation (GGA-PBE) on a geometry-optimized Be2Ru structure.

Results
- ΔE to the lowest computed polymorph: 0.029 eV per atom
- DFT formation energy: -0.32 eV per atom
- Final energy: -5.90 eV per atom

Cell: 3.489 3.489 2.791 Å, 90.00 90.00 120.00°
Element x y z (fractional)
Be  0.333  0.667  0.000
Be  0.667  0.333  0.000
Ru  0.000  0.000  0.500

=====

No. 2
VASP calculation (GGA-PBE) on a geometry-optimized IrPdNF2 structure.

Results
- ΔE_f (raw): 84 meV/atom
- ΔE to the lowest computed polymorph: 0.000 eV per atom
- Final energy: -5.14 eV per atom

Cell: 4.314 4.314 3.720 Å, 90.00 90.00 90.00°
Element x y z (fractional)
Ir  0.000  0.000  0.000
Pd  0.500  0.500  0.500
N  0.000  0.000  0.500
F  0.000  0.500  0.000
F  0.500  0.000  0.000

=====

No. 3
VASP calculation (GGA-PBE) on a geometry-optimized CaZr2Te structure.

Results
- ΔE_f (raw): -128 meV/atom
- Final energy: -5.69 eV per atom

Cell: 3.595 5.471 10.504 Å, 90.00 90.00 90.00°
Element x y z (fractional)
Ca  0.000  0.000  0.000
Ca  0.500  0.500  0.500
Zr  0.000  0.000  0.474
Zr  0.000  0.500  0.221
Zr  0.500  0.000  0.721
Zr  0.500  0.500  0.974
Te  0.000  0.500  0.751
Te  0.500  0.000  0.251

=====

No. 4
VASP calculation (GGA-PBE) on a geometry-optimized BaTm2Os structure.

Results
- DFT formation energy: -0.11 eV per atom
- Final energy: -5.63 eV per atom

Cell: 3.449 3.449 10.005 Å, 90.00 90.00 90.00°
Element x y z (fractional)
Ba  0.000  0.000  0.000
Tm  0.500  0.500  0.341
Tm  0.500  0.500  0.659
Os  0.000  0.000  0.500

=====

No. 5
VASP calculation (GGA-PBE) on a geometry-optimized TlCuBrCl2 structure.

Results
- ΔE_f (raw): -614 meV/atom
- Final energy: -2.98 eV per atom

Cell: 4.818 4.818 5.131 Å, 90.00 90.00 90.00°
Element x y z (fractional)
Tl  0.000  0.000  0.000
Cu  0.500  0.500  0.500
Br  0.500  0.500  0.000
Cl  0.000  0.500  0.500
Cl  0.500  0.000  0.500

=====

No. 6
VASP calculation (GGA-PBE) on a geometry-optimized La5NdTlCd2 structure.

Results
- DFT formation energy: -0.08 eV per atom
- Final energy: -3.81 eV per atom

Cell: 10.191 10.191 10.191 Å, 129.47 129.47 74.26°
Element x y z (fractional)
La  0.000  0.000  0.000
La  0.072  0.572  0.917
La  0.155  0.072  0.500
La  0.345  0.845  0.917
La  0.428  0.345  0.500
La  0.500  0.500  0.000
La  0.572  0.655  0.500
La  0.655  0.155  0.083
La  0.845  0.928  0.500
La  0.928  0.428  0.083
Nd  0.250  0.250  0.000
Nd  0.750  0.750  0.000
Tl  0.250  0.750  0.500
Tl  0.750  0.250  0.500
Cd  0.110  0.390  0.500
Cd  0.390  0.890  0.281
Cd  0.610  0.110  0.719
Cd  0.890  0.610  0.500

=====

No. 7
VASP calculation (GGA-PBE) on a geometry-optimized ReHg structure.

Results
- ΔE to the lowest computed polymorph: 1.645 eV per atom
- DFT formation energy: 2.04 eV per atom
- Final energy: -4.34 eV per atom

Cell: 3.993 3.993 6.011 Å, 90.00 90.00 120.00°
Element x y z (fractional)
Re  0.333  0.667  0.250
Re  0.667  0.333  0.750
Hg  0.000  0.000  0.000
Hg  0.000  0.000  0.500

=====

No. 8
VASP calculation (GGA-PBE) on a geometry-optimized Na4ZrTi3S8 structure.

Results
- ΔE_f (raw): -1383 meV/atom
- Final energy: -5.79 eV per atom

Cell: 7.917 7.917 7.917 Å, 54.10 54.10 54.10°
Element x y z (fractional)
Na  0.000  0.000  0.000
Na  0.000  0.500  0.500
Na  0.500  0.000  0.500
Na  0.500  0.500  0.000
Zr  0.500  0.500  0.500
Ti  0.000  0.000  0.500
Ti  0.000  0.500  0.000
Ti  0.500  0.000  0.000
S  0.230  0.743  0.743
S  0.237  0.237  0.237
S  0.257  0.257  0.770
S  0.257  0.770  0.257
S  0.743  0.230  0.743
S  0.743  0.743  0.230
S  0.763  0.763  0.763
S  0.770  0.257  0.257

=====

No. 9
VASP calculation (GGA-PBE) on a geometry-optimized Al2TeCl structure.

Results
- ΔE_f (raw): -92 meV/atom
- ΔE to the lowest computed polymorph: 0.339 eV per atom
- Final energy: -3.21 eV per atom

Cell: 7.125 7.125 7.125 Å, 90.00 90.00 90.00°
Element x y z (fractional)
Al  0.250  0.250  0.250
Al  0.250  0.250  0.750
Al  0.250  0.750  0.250
Al  0.250  0.750  0.750
Al  0.750  0.250  0.250
Al  0.750  0.250  0.750
Al  0.750  0.750  0.250
Al  0.750  0.750  0.750
Te  0.000  0.000  0.000
Te  0.000  0.500  0.500
Te  0.500  0.000  0.500
Te  0.500  0.500  0.000
Cl  0.000  0.000  0.500
Cl  0.000  0.500  0.000
Cl  0.500  0.000  0.000
Cl  0.500  0.500  0.500

=====

No. 10
VASP calculation (GGA-PBE) on a geometry-optimized Ba3S2F structure.

Results
- ΔE_f (raw): -2235 meV/atom
- Final energy: -4.88 eV per atom

Cell: 4.417 6.279 13.047 Å, 90.00 90.00 90.00°
Element x y z (fractional)
Ba  0.000  0.000  0.000
Ba  0.000  0.000  0.338
Ba  0.000  0.000  0.662
Ba  0.500  0.500  0.162
Ba  0.500  0.500  0.500
Ba  0.500  0.500  0.838
S  0.000  0.500  0.330
S  0.000  0.500  0.670
S  0.500  0.000  0.170
S  0.500  0.000  0.830
F  0.000  0.500  0.000
F  0.500  0.000  0.500

=====

No. 11
VASP calculation (GGA-PBE) on a geometry-optimized Cs4Ga2Se5 structure.

Results
- ΔE_f (raw): -1071 meV/atom
- Final energy: -3.52 eV per atom

Cell: 8.710 9.086 11.475 Å, 76.59 87.56 80.12°
Element x y z (fractional)
Cs  0.045  0.220  0.004
Cs  0.052  0.187  0.399
Cs  0.335  0.413  0.626
Cs  0.444  0.893  0.747
Cs  0.556  0.107  0.253
Cs  0.665  0.587  0.374
Cs  0.948  0.813  0.601
Cs  0.955  0.780  0.996
Ga  0.208  0.776  0.289
Ga  0.403  0.591  0.096
Ga  0.597  0.409  0.904
Ga  0.792  0.224  0.711
Se  0.065  0.117  0.725
Se  0.266  0.494  0.279
Se  0.317  0.520  0.917
Se  0.329  0.823  0.458
Se  0.352  0.862  0.097
Se  0.648  0.138  0.903
Se  0.671  0.177  0.542
Se  0.683  0.480  0.083
Se  0.734  0.506  0.721
Se  0.935  0.883  0.275

=====

No. 12
VASP calculation (GGA-PBE) on a geometry-optimized KTi3Be structure.

Results
- DFT formation energy: 0.99 eV per atom
- Final energy: -4.71 eV per atom

Cell: 4.703 4.703 4.703 Å, 90.00 90.00 90.00°
Element x y z (fractional)
K  0.000  0.000  0.000
Ti  0.000  0.500  0.500
Ti  0.500  0.000  0.500
Ti  0.500  0.500  0.000
Be  0.500  0.500  0.500

=====

No. 13
VASP calculation (GGA-PBE) on a geometry-optimized CuAgMo2 structure.

Results
- ΔE to the lowest computed polymorph: 0.072 eV per atom
- DFT formation energy: 0.30 eV per atom
- Final energy: -6.85 eV per atom

Cell: 2.678 2.678 8.597 Å, 90.00 90.00 90.00°
Element x y z (fractional)
Cu  0.000  0.000  0.000
Ag  0.500  0.500  0.761
Mo  0.000  0.000  0.494
Mo  0.500  0.500  0.227